Record 1
A plane-wave DFT calculation with GGA-PBE was carried out for a relaxed K2TlC2O6 crystal.

a b c (Å): 10.041 5.493 6.980
angles (deg): 90.00 116.19 90.00
Space group C2/m (No. 12)
One atom of each set of equivalent atoms:
K 0.193 0.000 0.175
Tl 0.000 0.000 0.500
C 0.037 0.500 0.264
O 0.042 0.298 0.789
O 0.178 0.500 0.360


Record 2
A plane-wave DFT calculation with GGA-PBE was carried out for a relaxed K2TmC2O6 crystal.

a b c (Å): 5.4157 5.4157 7.8850
angles (deg): 90.00 90.00 120.00
Space group P-3m1 (No. 164)
One atom of each set of equivalent atoms:
K 0.3333 0.6667 0.3067
Tm 0.0000 0.0000 0.0000
C 0.3333 0.6667 0.8485
O 0.1950 0.3900 0.8432


Record 3
A plane-wave DFT calculation with GGA-PBE was carried out for a relaxed KTmC2O6 crystal.

a b c (Å): 8.431 9.504 7.002
angles (deg): 90.00 110.29 90.00
Space group C2/c (No. 15)
One atom of each set of equivalent atoms:
K 0.000 0.117 0.250
Tm 0.000 0.409 0.750
C 0.229 0.372 0.246
O 0.081 0.382 0.098
O 0.176 0.234 0.738
O 0.235 0.026 0.623


Record 4
A plane-wave DFT calculation with GGA-PBE was carried out for a relaxed K4UC3O11 crystal.

a b c (Å): 10.473 9.346 12.443
angles (deg): 90.00 94.61 90.00
Space group C2/c (No. 15)
One atom of each set of equivalent atoms:
K 0.107 0.180 0.043
K 0.183 0.349 0.343
U 0.000 0.298 0.750
C 0.000 0.011 0.250
C 0.124 0.455 0.586
O 0.000 0.147 0.250
O 0.043 0.066 0.671
O 0.064 0.482 0.162
O 0.104 0.316 0.579
O 0.162 0.296 0.821
O 0.196 0.479 0.026


The evaluated VASP energy for the records listed, in turn: -6.2463, -6.9044, -7.5403, -7.2149 eV per atom.
The evaluated V for the records listed, in turn: 345.45, 200.28, 526.27, 1213.98 Å³/cell.